Entry 1:
VASP calculation (PBE) on an optimized crystal structure of Pr4As2SBr.

Its energy is -5.876 eV per atom. For the formation energy from raw total energies, the calculation gives -154.23 kJ per mole of atoms.

The space group is P2/m (No. 10) and the conventional cell measures 7.380, 4.253 and 7.455 Å, with angles of 90.00, 109.17 and 90.00 degrees. The inequivalent atoms are Pr at (0.230, 0.000, 0.227), Pr at (0.240, 0.500, 0.762), As at (0.000, 0.000, 0.500), As at (0.000, 0.500, 0.000), S at (0.500, 0.000, 0.000) and Br at (0.500, 0.500, 0.500).

Entry 2:
VASP calculation (PBE) on an optimized crystal structure of TbY3Tm3.

Its energy is -5.344 eV per atom. For the formation energy, the calculation gives 4 meV per atom.

The space group is P6_3/m (No. 176) and the conventional cell measures 9.5457, 9.5457 and 5.6132 Å, with angles of 90.00, 90.00 and 120.00 degrees. The inequivalent atoms are Tb at (0.3333, 0.6667, 0.2500), Y at (0.0486, 0.8087, 0.2500) and Tm at (0.0956, 0.6171, 0.7500).